Material: CaTl2Au
Method: DFT, GGA-PBE
State: optimized geometry Values from VASP.

Calculated values
Electronic total energy, eV/cell: -11.34
Magnetic moment, μB/atom: 0.00

Cell and atoms, written as Quantum ESPRESSO input:
```
&SYSTEM
  ibrav = 0, nat = 4, ntyp = 3
/
ATOMIC_SPECIES
Ca 40.08 Ca.upf
Tl 204.38 Tl.upf
Au 196.97 Au.upf
ATOMIC_POSITIONS crystal
Ca 0.000 0.000 0.000
Tl 0.000 0.000 0.551
Tl 0.500 0.500 0.280
Au 0.500 0.500 0.802
CELL_PARAMETERS angstrom
3.809 0.000 0.000
0.000 3.809 0.000
0.000 0.000 7.354
```


Material: YBeMo
Method: DFT, GGA-PBE
State: optimized geometry Values from VASP.

Calculated values
Energy above the lowest structure with this stoichiometry, kcal/mol of atoms: 29.90
Magnetic moment, μB/atom: 1.00

Cell and atoms, written as Quantum ESPRESSO input:
```
&SYSTEM
  ibrav = 0, nat = 12, ntyp = 3
/
ATOMIC_SPECIES
Y 88.91 Y.upf
Be 9.01 Be.upf
Mo 95.94 Mo.upf
ATOMIC_POSITIONS crystal
Y 0.000 0.000 0.000
Y 0.000 0.500 0.500
Y 0.500 0.000 0.500
Y 0.500 0.500 0.000
Be 0.250 0.250 0.250
Be 0.250 0.750 0.750
Be 0.750 0.250 0.750
Be 0.750 0.750 0.250
Mo 0.250 0.250 0.750
Mo 0.250 0.750 0.250
Mo 0.750 0.250 0.250
Mo 0.750 0.750 0.750
CELL_PARAMETERS angstrom
6.518 0.000 0.000
0.000 6.518 0.000
0.000 0.000 6.518
```


Material: MgAg2Pd3
Method: DFT, GGA-PBE
State: optimized geometry Values from VASP.

Calculated values
Electronic total energy, eV/cell: -49.36
Magnetic moment, μB/atom: 0.00

Cell and atoms, written as Quantum ESPRESSO input:
```
&SYSTEM
  ibrav = 0, nat = 12, ntyp = 3
/
ATOMIC_SPECIES
Mg 24.30 Mg.upf
Ag 107.87 Ag.upf
Pd 106.42 Pd.upf
ATOMIC_POSITIONS crystal
Mg 0.162 0.000 0.324
Mg 0.838 0.000 0.676
Ag 0.166 0.500 0.333
Ag 0.500 0.000 0.000
Ag 0.500 0.500 0.000
Ag 0.834 0.500 0.667
Pd 0.000 0.246 0.000
Pd 0.000 0.754 0.000
Pd 0.329 0.237 0.658
Pd 0.329 0.763 0.658
Pd 0.671 0.237 0.342
Pd 0.671 0.763 0.342
CELL_PARAMETERS angstrom
4.529 0.000 0.000
0.000 6.382 0.000
-2.227 0.000 6.802
```